# Ge2PtW, relaxed, DFT PBE
# - Mass density: 12.90 g cm⁻³
# - Formation enthalpy at 0 K: 79 meV/atom
data_Ge2PtW
_space_group_name_H-M_alt 'P 1'
_space_group_IT_number 1
_space_group_name_Hall 'P 1'
_cell_length_a 2.949
_cell_length_b 2.949
_cell_length_c 9.122
_cell_angle_alpha 80.70
_cell_angle_beta 80.70
_cell_angle_gamma 60.00
loop_
_atom_site_label
_atom_site_type_symbol
_atom_site_fract_x
_atom_site_fract_y
_atom_site_fract_z
W1 W 0.500 0.500 0.500
Pt1 Pt 0.000 0.000 0.000
Ge1 Ge 0.910 0.910 0.271
Ge2 Ge 0.090 0.090 0.729

---

# Ge2PtW, relaxed, DFT PBE
# - Mass density: 14.05 g cm⁻³
# - Formation enthalpy at 0 K: 158 meV/atom
data_Ge2PtW
_space_group_name_H-M_alt 'P 1'
_space_group_IT_number 1
_space_group_name_Hall 'P 1'
_cell_length_a 4.442
_cell_length_b 4.442
_cell_length_c 4.442
_cell_angle_alpha 60.00
_cell_angle_beta 60.00
_cell_angle_gamma 60.00
loop_
_atom_site_label
_atom_site_type_symbol
_atom_site_fract_x
_atom_site_fract_y
_atom_site_fract_z
W1 W 0.000 0.000 0.000
Ge1 Ge 0.250 0.250 0.250
Ge2 Ge 0.750 0.750 0.750
Pt1 Pt 0.500 0.500 0.500

---

# Ge3PtW, relaxed, DFT PBE
# - Mass density: 8.72 g cm⁻³
# - Formation enthalpy at 0 K: 846 meV/atom
data_Ge3PtW
_space_group_name_H-M_alt 'P 1'
_space_group_IT_number 1
_space_group_name_Hall 'P 1'
_cell_length_a 4.844
_cell_length_b 4.844
_cell_length_c 4.844
_cell_angle_alpha 90.00
_cell_angle_beta 90.00
_cell_angle_gamma 90.00
loop_
_atom_site_label
_atom_site_type_symbol
_atom_site_fract_x
_atom_site_fract_y
_atom_site_fract_z
Ge1 Ge 0.000 0.000 0.500
Ge2 Ge 0.500 0.000 0.000
Ge3 Ge 0.000 0.500 0.000
Pt1 Pt 0.500 0.500 0.500
W1 W 0.000 0.000 0.000

---

# GePt2W, relaxed, DFT PBE
# - Mass density: 16.51 g cm⁻³
# - Formation enthalpy at 0 K: 227 meV/atom
data_GePt2W
_space_group_name_H-M_alt 'P 1'
_space_group_IT_number 1
_space_group_name_Hall 'P 1'
_cell_length_a 4.514
_cell_length_b 4.514
_cell_length_c 4.514
_cell_angle_alpha 60.00
_cell_angle_beta 60.00
_cell_angle_gamma 60.00
loop_
_atom_site_label
_atom_site_type_symbol
_atom_site_fract_x
_atom_site_fract_y
_atom_site_fract_z
Ge1 Ge 0.000 0.000 0.000
W1 W 0.500 0.500 0.500
Pt1 Pt 0.250 0.250 0.250
Pt2 Pt 0.750 0.750 0.750